No. 1
DFT (PBE) results for a relaxed SrAc2Ag9 crystal.

abc: 10.123 10.123 10.123
angles: 33.75 33.75 33.75
Fractional coordinates of all 12 atoms:
Sr 0.000 0.000 0.000
Ac 0.142 0.142 0.142
Ac 0.858 0.858 0.858
Ag 0.081 0.582 0.582
Ag 0.333 0.333 0.333
Ag 0.418 0.418 0.919
Ag 0.418 0.919 0.418
Ag 0.500 0.500 0.500
Ag 0.582 0.081 0.582
Ag 0.582 0.582 0.081
Ag 0.667 0.667 0.667
Ag 0.919 0.418 0.418

Values from the calculation:
N(E_F), states/eV per cell: 6.70
M_tot, μB per atom: 0.0000
Formation energy from the elements, eV/atom: -0.181
SG: No. 166
Total DFT energy (no corrections), eV per atom: -3.144

---

No. 2
DFT (PBE) results for a relaxed Sr3AcAg crystal.

abc: 6.197 6.197 6.197
angles: 90.00 90.00 90.00
Fractional coordinates of all 5 atoms:
Sr 0.000 0.000 0.500
Sr 0.000 0.500 0.000
Sr 0.500 0.000 0.000
Ac 0.500 0.500 0.500
Ag 0.000 0.000 0.000

Values from the calculation:
N(E_F), states/eV per cell: 6.57
M_tot, μB per atom: 0.0002
Formation energy from the elements, eV/atom: 0.057
SG: No. 221
Total DFT energy (no corrections), eV per atom: -2.344

---

No. 3
DFT (PBE) results for a relaxed Sr2AcAg crystal.

abc: 3.968 3.968 10.027
angles: 90.00 90.00 90.00
Fractional coordinates of all 4 atoms:
Sr 0.000 0.000 0.192
Sr 0.000 0.000 0.808
Ac 0.500 0.500 0.500
Ag 0.500 0.500 0.000

Values from the calculation:
N(E_F), states/eV per cell: 5.68
M_tot, μB per atom: 0.0000
Formation energy from the elements, eV/atom: -0.075
SG: No. 123
Total DFT energy (no corrections), eV per atom: -2.656

---

No. 4
DFT (PBE) results for a relaxed Sr5AcAg6 crystal.

abc: 9.632 9.632 5.597
angles: 106.77 106.77 120.20
Fractional coordinates of all 12 atoms:
Sr 0.000 0.000 0.000
Sr 0.164 0.836 0.500
Sr 0.330 0.670 0.000
Sr 0.670 0.330 0.000
Sr 0.836 0.164 0.500
Ac 0.500 0.500 0.500
Ag 0.091 0.419 0.256
Ag 0.263 0.263 0.763
Ag 0.419 0.091 0.256
Ag 0.581 0.909 0.744
Ag 0.737 0.737 0.237
Ag 0.909 0.581 0.744

Values from the calculation:
N(E_F), states/eV per cell: 9.57
M_tot, μB per atom: 0.0000
Formation energy from the elements, eV/atom: -0.265
SG: No. 12
Total DFT energy (no corrections), eV per atom: -2.733

---

No. 5
DFT (PBE) results for a relaxed Sr2AcAg3 crystal.

abc: 8.811 8.811 7.908
angles: 90.00 90.00 143.12
Fractional coordinates of all 12 atoms:
Sr 0.000 0.000 0.000
Sr 0.000 0.000 0.500
Sr 0.333 0.667 0.000
Sr 0.667 0.333 0.000
Ac 0.334 0.666 0.500
Ac 0.666 0.334 0.500
Ag 0.169 0.831 0.260
Ag 0.169 0.831 0.740
Ag 0.500 0.500 0.252
Ag 0.500 0.500 0.748
Ag 0.831 0.169 0.260
Ag 0.831 0.169 0.740

Values from the calculation:
N(E_F), states/eV per cell: 10.86
M_tot, μB per atom: 0.0000
Formation energy from the elements, eV/atom: -0.261
SG: No. 65
Total DFT energy (no corrections), eV per atom: -2.932

---

No. 6
DFT (PBE) results for a relaxed SrAcAg2 crystal.

abc: 5.012 6.344 6.344
angles: 39.48 90.00 90.00
Fractional coordinates of all 4 atoms:
Sr 0.000 0.000 0.000
Ac 0.500 0.723 0.723
Ag 0.000 0.284 0.284
Ag 0.500 0.435 0.435

Values from the calculation:
N(E_F), states/eV per cell: 2.81
M_tot, μB per atom: 0.0000
Formation energy from the elements, eV/atom: -0.279
SG: No. 38
Total DFT energy (no corrections), eV per atom: -3.152

---

No. 7
DFT (PBE) results for a relaxed SrAcAg2 crystal.

abc: 8.554 8.554 8.554
angles: 30.18 30.18 30.18
Fractional coordinates of all 4 atoms:
Sr 0.000 0.000 0.000
Ac 0.829 0.829 0.829
Ag 0.246 0.246 0.246
Ag 0.415 0.415 0.415

Values from the calculation:
N(E_F), states/eV per cell: 2.79
M_tot, μB per atom: 0.0000
Formation energy from the elements, eV/atom: -0.137
SG: No. 160
Total DFT energy (no corrections), eV per atom: -3.010

---

No. 8
DFT (PBE) results for a relaxed Sr2AcAg3 crystal.

abc: 3.929 3.929 11.971
angles: 90.00 90.00 90.00
Fractional coordinates of all 6 atoms:
Sr 0.000 0.000 0.166
Sr 0.000 0.000 0.834
Ac 0.000 0.000 0.500
Ag 0.500 0.500 0.000
Ag 0.500 0.500 0.338
Ag 0.500 0.500 0.662

Values from the calculation:
N(E_F), states/eV per cell: 5.84
M_tot, μB per atom: 0.0000
Formation energy from the elements, eV/atom: -0.262
SG: No. 123
Total DFT energy (no corrections), eV per atom: -2.933

---

No. 9
DFT (PBE) results for a relaxed Sr4AcAg5 crystal.

abc: 3.952 3.952 19.617
angles: 90.00 90.00 90.00
Fractional coordinates of all 10 atoms:
Sr 0.000 0.000 0.099
Sr 0.000 0.000 0.298
Sr 0.000 0.000 0.702
Sr 0.000 0.000 0.901
Ac 0.000 0.000 0.500
Ag 0.500 0.500 0.000
Ag 0.500 0.500 0.197
Ag 0.500 0.500 0.403
Ag 0.500 0.500 0.597
Ag 0.500 0.500 0.803

Values from the calculation:
N(E_F), states/eV per cell: 8.68
M_tot, μB per atom: 0.0000
Formation energy from the elements, eV/atom: -0.264
SG: No. 123
Total DFT energy (no corrections), eV per atom: -2.773

---

No. 10
DFT (PBE) results for a relaxed SrAcAg2 crystal.

abc: 3.944 3.944 7.959
angles: 90.00 90.00 90.00
Fractional coordinates of all 4 atoms:
Sr 0.000 0.000 0.000
Ac 0.000 0.000 0.500
Ag 0.500 0.500 0.261
Ag 0.500 0.500 0.739

Values from the calculation:
N(E_F), states/eV per cell: 3.51
M_tot, μB per atom: 0.0000
Formation energy from the elements, eV/atom: -0.265
SG: No. 123
Total DFT energy (no corrections), eV per atom: -3.139

---

No. 11
DFT (PBE) results for a relaxed Sr3AcAg3 crystal.

abc: 7.871 7.871 7.891
angles: 90.03 90.03 84.72
Fractional coordinates of all 14 atoms:
Sr 0.215 0.785 0.000
Sr 0.238 0.762 0.500
Sr 0.263 0.263 0.500
Sr 0.737 0.737 0.500
Sr 0.762 0.238 0.500
Sr 0.785 0.215 0.000
Ac 0.289 0.289 0.000
Ac 0.711 0.711 0.000
Ag 0.000 0.500 0.243
Ag 0.000 0.500 0.757
Ag 0.500 0.000 0.243
Ag 0.500 0.000 0.757
Ag 0.500 0.500 0.266
Ag 0.500 0.500 0.734

Values from the calculation:
N(E_F), states/eV per cell: 12.70
M_tot, μB per atom: 0.0000
Formation energy from the elements, eV/atom: -0.182
SG: No. 12
Total DFT energy (no corrections), eV per atom: -2.711

---

No. 12
DFT (PBE) results for a relaxed SrAcAg2 crystal.

abc: 5.568 5.568 5.568
angles: 60.00 60.00 60.00
Fractional coordinates of all 4 atoms:
Sr 0.000 0.000 0.000
Ac 0.500 0.500 0.500
Ag 0.250 0.250 0.250
Ag 0.750 0.750 0.750

Values from the calculation:
N(E_F), states/eV per cell: 3.06
M_tot, μB per atom: 0.0000
Formation energy from the elements, eV/atom: -0.264
SG: No. 225
Total DFT energy (no corrections), eV per atom: -3.138

---

No. 13
DFT (PBE) results for a relaxed Sr2AcAg crystal.

abc: 12.402 12.402 12.402
angles: 18.99 18.99 18.99
Fractional coordinates of all 4 atoms:
Sr 0.108 0.108 0.108
Sr 0.892 0.892 0.892
Ac 0.000 0.000 0.000
Ag 0.500 0.500 0.500

Values from the calculation:
N(E_F), states/eV per cell: 3.67
M_tot, μB per atom: 0.0000
Formation energy from the elements, eV/atom: 0.112
SG: No. 166
Total DFT energy (no corrections), eV per atom: -2.469

---

No. 14
DFT (PBE) results for a relaxed Sr2AcAg crystal.

abc: 11.513 11.513 11.513
angles: 20.80 20.80 20.80
Fractional coordinates of all 4 atoms:
Sr 0.000 0.000 0.000
Sr 0.203 0.203 0.203
Ac 0.435 0.435 0.435
Ag 0.602 0.602 0.602

Values from the calculation:
N(E_F), states/eV per cell: 4.07
M_tot, μB per atom: 0.0000
Formation energy from the elements, eV/atom: -0.026
SG: No. 160
Total DFT energy (no corrections), eV per atom: -2.607

---

No. 15
DFT (PBE) results for a relaxed SrAcAg3 crystal.

abc: 14.883 14.883 4.797
angles: 90.00 90.00 163.87
Fractional coordinates of all 10 atoms:
Sr 0.071 0.929 0.750
Sr 0.929 0.071 0.250
Ac 0.205 0.795 0.250
Ac 0.795 0.205 0.750
Ag 0.327 0.673 0.250
Ag 0.382 0.618 0.750
Ag 0.476 0.524 0.750
Ag 0.524 0.476 0.250
Ag 0.618 0.382 0.250
Ag 0.673 0.327 0.750

Values from the calculation:
N(E_F), states/eV per cell: 6.18
M_tot, μB per atom: 0.0000
Formation energy from the elements, eV/atom: -0.269
SG: No. 63
Total DFT energy (no corrections), eV per atom: -3.138

---

No. 16
DFT (PBE) results for a relaxed Sr2AcAg9 crystal.

abc: 10.101 10.101 10.101
angles: 33.75 33.75 33.75
Fractional coordinates of all 12 atoms:
Sr 0.142 0.142 0.142
Sr 0.858 0.858 0.858
Ac 0.000 0.000 0.000
Ag 0.083 0.582 0.582
Ag 0.332 0.332 0.332
Ag 0.418 0.418 0.917
Ag 0.418 0.917 0.418
Ag 0.500 0.500 0.500
Ag 0.582 0.083 0.582
Ag 0.582 0.582 0.083
Ag 0.668 0.668 0.668
Ag 0.917 0.418 0.418

Values from the calculation:
N(E_F), states/eV per cell: 8.79
M_tot, μB per atom: 0.0000
Formation energy from the elements, eV/atom: -0.197
SG: No. 166
Total DFT energy (no corrections), eV per atom: -2.958

---

No. 17
DFT (PBE) results for a relaxed Sr3Ac2AgTe6 crystal.

abc: 8.138 8.138 8.160
angles: 99.62 99.62 120.03
Fractional coordinates of all 12 atoms:
Sr 0.000 0.000 0.000
Sr 0.332 0.668 0.000
Sr 0.668 0.332 0.000
Ac 0.166 0.834 0.500
Ac 0.834 0.166 0.500
Ag 0.500 0.500 0.500
Te 0.095 0.419 0.256
Te 0.257 0.257 0.745
Te 0.419 0.095 0.256
Te 0.581 0.905 0.744
Te 0.743 0.743 0.255
Te 0.905 0.581 0.744

Values from the calculation:
N(E_F), states/eV per cell: 4.27
M_tot, μB per atom: 0.0000
SG: No. 12
Total DFT energy (no corrections), eV per atom: -4.315

---

No. 18
DFT (PBE) results for a relaxed SrAcTlAg crystal.

abc: 3.978 3.978 8.296
angles: 90.00 90.00 90.00
Fractional coordinates of all 4 atoms:
Sr 0.000 0.000 0.000
Ac 0.000 0.000 0.477
Tl 0.500 0.500 0.739
Ag 0.500 0.500 0.243

Values from the calculation:
N(E_F), states/eV per cell: 2.25
M_tot, μB per atom: 0.0001
Formation energy from the elements, eV/atom: -0.337
SG: No. 99
Total DFT energy (no corrections), eV per atom: -3.088

---

No. 19
DFT (PBE) results for a relaxed Sr2Ac3Tl4Ag2 crystal.

abc: 5.250 5.250 15.975
angles: 90.00 90.00 120.00
Fractional coordinates of all 11 atoms:
Sr 0.333 0.667 0.078
Sr 0.667 0.333 0.922
Ac 0.000 0.000 0.265
Ac 0.000 0.000 0.500
Ac 0.000 0.000 0.735
Tl 0.333 0.667 0.384
Tl 0.333 0.667 0.837
Tl 0.667 0.333 0.163
Tl 0.667 0.333 0.616
Ag 0.333 0.667 0.624
Ag 0.667 0.333 0.376

Values from the calculation:
N(E_F), states/eV per cell: 10.85
M_tot, μB per atom: 0.0000
Formation energy from the elements, eV/atom: -0.230
SG: No. 164
Total DFT energy (no corrections), eV per atom: -3.035

---

No. 20
DFT (PBE) results for a relaxed SrAcTlAg crystal.

abc: 5.698 5.698 5.698
angles: 60.00 60.00 60.00
Fractional coordinates of all 4 atoms:
Sr 0.000 0.000 0.000
Ac 0.500 0.500 0.500
Tl 0.750 0.750 0.750
Ag 0.250 0.250 0.250

Values from the calculation:
N(E_F), states/eV per cell: 4.28
M_tot, μB per atom: 0.0000
Formation energy from the elements, eV/atom: -0.327
SG: No. 216
Total DFT energy (no corrections), eV per atom: -3.079